1.
This record from Alexandria describes a relaxed structure of CuHN2O. The functional is PBE-GGA.

Cell: 3.905 3.905 3.697 Å, 90.00 90.00 90.00°
Space group P4/mmm (No. 123)
One atom of each set of equivalent atoms:
Cu (0.000, 0.000, 0.000) x1
H (0.500, 0.500, 0.500) x1
N (0.000, 0.500, 0.000) x2
O (0.000, 0.000, 0.500) x1

Computed properties:
total DFT energy (no corrections): -18.66 eV per formula unit

=====

2.
This record from Alexandria describes a relaxed structure of InAsPt3. The functional is PBE-GGA.

Cell: 4.922 4.922 4.922 Å, 90.00 90.00 90.00°
Space group Pm-3m (No. 221)
One atom of each set of equivalent atoms:
In (0.000, 0.000, 0.000) x1
As (0.500, 0.500, 0.500) x1
Pt (0.000, 0.000, 0.500) x3

Computed properties:
formation energy: 1.129 eV per atom

=====

3.
This record from Alexandria describes a relaxed structure of Tl2Cd2Hg. The functional is PBE-GGA.

Cell: 9.194 9.194 3.426 Å, 90.00 90.00 90.00°
Space group P4/mbm (No. 127)
One atom of each set of equivalent atoms:
Tl (0.178, 0.322, 0.000) x4
Cd (0.121, 0.621, 0.500) x4
Hg (0.000, 0.000, 0.000) x2

Computed properties:
formation energy: 0.073 eV per atom

=====

4.
This record from Alexandria describes a relaxed structure of RbCaCdCl5. The functional is PBE-GGA.

Cell: 9.280 12.444 10.075 Å, 90.00 113.18 90.00°
Space group C2/c (No. 15)
One atom of each set of equivalent atoms:
Rb (0.000, 0.164, 0.250) x4
Ca (0.000, 0.500, 0.000) x4
Cd (0.000, 0.185, 0.750) x4
Cl (0.000, 0.426, 0.250) x4
Cl (0.111, 0.295, 0.605) x8
Cl (0.188, 0.061, 0.934) x8

Computed properties:
formation energy (no corrections): -1.81 eV per atom

=====

5.
This record from Alexandria describes a relaxed structure of PmCd3Hg2. The functional is PBE-GGA.

Cell: 17.441 4.708 7.610 Å, 90.00 111.15 90.00°
Space group C2/m (No. 12)
One atom of each set of equivalent atoms:
Pm (0.118, 0.000, 0.186) x4
Cd (0.073, 0.000, 0.691) x4
Cd (0.127, 0.500, 0.509) x4
Cd (0.197, 0.500, 0.929) x4
Hg (0.018, 0.500, 0.830) x4
Hg (0.241, 0.000, 0.659) x4

Computed properties:
formation energy: -0.228 eV per atom

=====

6.
This record from Alexandria describes a relaxed structure of AlMoN3. The functional is PBE-GGA.

Cell: 5.497 7.419 7.623 Å, 92.45 98.85 103.86°
Space group P-1 (No. 2)
One atom of each set of equivalent atoms:
Al (0.050, 0.338, 0.021) x2
Al (0.386, 0.717, 0.780) x2
Mo (0.014, 0.356, 0.627) x2
Mo (0.040, 0.043, 0.280) x2
N (0.108, 0.810, 0.192) x2
N (0.131, 0.172, 0.529) x2
N (0.169, 0.533, 0.878) x2
N (0.240, 0.600, 0.546) x2
N (0.254, 0.926, 0.818) x2
N (0.263, 0.233, 0.178) x2

Computed properties:
formation energy (no corrections): -0.45 eV per atom

=====

7.
This record from Alexandria describes a relaxed structure of Nb6GaH. The functional is PBE-GGA.

Cell: 5.055 5.779 5.795 Å, 92.91 112.71 115.44°
Space group P-1 (No. 2)
One atom of each set of equivalent atoms:
Nb (0.074, 0.115, 0.318) x2
Nb (0.254, 0.730, 0.280) x2
Nb (0.375, 0.553, 0.756) x2
Ga (0.500, 0.000, 0.000) x1
H (0.500, 0.500, 0.500) x1

Computed properties:
total DFT energy (no corrections): -64.78 eV per formula unit

=====

8.
This record from Alexandria describes a relaxed structure of CaGaTc. The functional is PBE-GGA.

Cell: 5.854 13.168 7.056 Å, 90.00 90.00 90.00°
Space group Cmce (No. 64)
One atom of each set of equivalent atoms:
Ca (0.000, 0.186, 0.072) x8
Ga (0.250, 0.058, 0.750) x8
Tc (0.000, 0.081, 0.445) x8

Computed properties:
formation energy: 0.160 eV per atom

=====

9.
This record from Alexandria describes a relaxed structure of Ce5GePb2. The functional is PBE-GGA.

Cell: 6.564 12.565 5.460 Å, 90.00 90.00 90.00°
Space group Pbam (No. 55)
One atom of each set of equivalent atoms:
Ce (0.000, 0.000, 0.000) x2
Ce (0.121, 0.414, 0.500) x4
Ce (0.156, 0.737, 0.000) x4
Ge (0.000, 0.500, 0.000) x2
Pb (0.104, 0.151, 0.500) x4

Computed properties:
formation energy: -0.432 eV per atom

=====

10.
This record from Alexandria describes a relaxed structure of NaHf2Sb. The functional is PBE-GGA.

Cell: 8.167 8.167 5.906 Å, 90.00 90.00 90.00°
Space group I-42d (No. 122)
One atom of each set of equivalent atoms:
Na (0.000, 0.000, 0.000) x4
Hf (0.229, 0.250, 0.625) x8
Sb (0.000, 0.000, 0.500) x4

Computed properties:
formation energy (no corrections): 0.47 eV per atom

=====

11.
This record from Alexandria describes a relaxed structure of BeZnFe2. The functional is PBE-GGA.

Cell: 2.513 3.938 4.568 Å, 90.00 96.19 90.00°
Space group Pm (No. 6)
One atom of each set of equivalent atoms:
Be (0.000, 0.000, 0.000) x1
Zn (0.023, 0.500, 0.704) x1
Fe (0.431, 0.000, 0.466) x1
Fe (0.604, 0.500, 0.191) x1

Computed properties:
formation energy: -0.004 eV per atom

=====

12.
This record from Alexandria describes a relaxed structure of CsK3Te. The functional is PBE-GGA.

Cell: 7.287 7.287 7.287 Å, 90.00 90.00 90.00°
Space group Pm-3m (No. 221)
One atom of each set of equivalent atoms:
Cs (0.000, 0.000, 0.000) x1
K (0.000, 0.000, 0.500) x3
Te (0.500, 0.500, 0.500) x1

Computed properties:
formation energy (no corrections): 0.30 eV per atom

=====

13.
This record from Alexandria describes a relaxed structure of YMgMn. The functional is PBE-GGA.

Cell: 14.113 3.501 5.469 Å, 90.00 103.36 90.00°
Space group C2/m (No. 12)
One atom of each set of equivalent atoms:
Y (0.138, 0.000, 0.327) x4
Mg (0.076, 0.500, 0.798) x4
Mn (0.237, 0.000, 0.889) x4

Computed properties:
formation energy: 0.075 eV per atom

=====

14.
This record from Alexandria describes a relaxed structure of Hf2ScZn. The functional is PBE-GGA.

Cell: 3.0714 3.0714 31.7947 Å, 90.00 90.00 120.00°
Space group R-3m (No. 166, hexagonal axes)
One atom of each set of equivalent atoms:
Hf (0.0000, 0.0000, 0.0948) x6
Sc (0.0000, 0.0000, 0.0000) x3
Zn (0.0000, 0.0000, 0.5000) x3

Computed properties:
formation energy: 0.247 eV per atom

=====

15.
This record from Alexandria describes a relaxed structure of EuHoPdRu. The functional is PBE-GGA.

Cell: 6.962 6.962 6.962 Å, 90.00 90.00 90.00°
Space group F-43m (No. 216)
One atom of each set of equivalent atoms:
Eu (0.000, 0.000, 0.000) x4
Ho (0.000, 0.000, 0.500) x4
Pd (0.250, 0.250, 0.250) x4
Ru (0.250, 0.250, 0.750) x4

Computed properties:
formation energy: -0.362 eV per atom

=====

16.
This record from Alexandria describes a relaxed structure of Er2TmTh. The functional is PBE-GGA.

Cell: 4.973 4.973 4.989 Å, 90.00 90.00 90.00°
Space group P4/mmm (No. 123)
One atom of each set of equivalent atoms:
Er (0.000, 0.500, 0.000) x2
Tm (0.000, 0.000, 0.500) x1
Th (0.500, 0.500, 0.500) x1

Computed properties:
formation energy: 0.036 eV per atom

=====

17.
This record from Alexandria describes a relaxed structure of Ce8InGa2. The functional is PBE-GGA.

Cell: 4.953 7.835 15.093 Å, 90.00 90.00 90.00°
Space group Immm (No. 71)
One atom of each set of equivalent atoms:
Ce (0.000, 0.000, 0.189) x4
Ce (0.000, 0.221, 0.334) x8
Ce (0.000, 0.325, 0.000) x4
In (0.000, 0.500, 0.500) x2
Ga (0.000, 0.500, 0.185) x4

Computed properties:
formation energy: -0.193 eV per atom

=====

18.
This record from Alexandria describes a relaxed structure of ErScNi. The functional is PBE-GGA.

Cell: 11.648 3.512 7.621 Å, 90.00 124.65 90.00°
Space group Cm (No. 8)
One atom of each set of equivalent atoms:
Er (0.000, 0.000, 0.000) x2
Er (0.075, 0.500, 0.683) x2
Sc (0.246, 0.000, 0.535) x2
Sc (0.323, 0.500, 0.231) x2
Ni (0.040, 0.500, 0.304) x2
Ni (0.286, 0.000, 0.941) x2

Computed properties:
formation energy: -0.322 eV per atom

=====

19.
This record from Alexandria describes a relaxed structure of GeBPd4. The functional is PBE-GGA.

Cell: 7.253 10.463 4.771 Å, 90.00 112.15 90.00°
Space group C2/c (No. 15)
One atom of each set of equivalent atoms:
Ge (0.000, 0.130, 0.250) x4
B (0.000, 0.495, 0.250) x4
Pd (0.111, 0.332, 0.569) x8
Pd (0.211, 0.077, 0.829) x8

Computed properties:
formation energy: -0.264 eV per atom

=====

20.
This record from Alexandria describes a relaxed structure of TlSn. The functional is PBE-GGA.

Cell: 4.358 12.327 7.048 Å, 90.00 90.00 90.00°
Space group Imm2 (No. 44)
One atom of each set of equivalent atoms:
Tl (0.000, 0.000, 0.000) x2
Tl (0.000, 0.320, 0.265) x4
Sn (0.000, 0.000, 0.521) x2
Sn (0.000, 0.375, 0.786) x4

Computed properties:
formation energy: 0.057 eV per atom

=====

Number 1: spin magnetization 2.74 Bohr magnetons per cell. Number 2: spin magnetization 0.00 Bohr magnetons per cell. Number 3: spin magnetization 0.00 Bohr magnetons per cell. Number 4: spin magnetization 0.23 Bohr magnetons per cell. Number 5: spin magnetization 0.00 Bohr magnetons per cell. Number 6: spin magnetization 0.00 Bohr magnetons per cell. Number 7: spin magnetization 0.00 Bohr magnetons per cell. Number 8: spin magnetization 0.00 Bohr magnetons per cell. Number 9: spin magnetization 11.18 Bohr magnetons per cell. Number 10: spin magnetization 0.00 Bohr magnetons per cell. Number 11: spin magnetization 4.23 Bohr magnetons per cell. Number 12: spin magnetization 0.00 Bohr magnetons per cell. Number 13: spin magnetization 0.00 Bohr magnetons per cell. Number 14: spin magnetization 1.55 Bohr magnetons per cell. Number 15: spin magnetization 26.61 Bohr magnetons per cell. Number 16: spin magnetization 0.00 Bohr magnetons per cell. Number 17: spin magnetization 8.33 Bohr magnetons per cell. Number 18: spin magnetization 0.00 Bohr magnetons per cell. Number 19: spin magnetization 0.00 Bohr magnetons per cell. Number 20: spin magnetization 0.00 Bohr magnetons per cell.